[1]
# TaTlPO

Crystalline TaTlPO at its relaxed geometry (GGA-PBE, OQMD via LeMat-Bulk).

Values from the calculation:
For the energy above the most stable polymorph in this dataset, the calculation gives 592 meV/atom. For the density, the calculation gives 10.18 g cm⁻³. The total magnetization comes out at 0.0002 μB/atom.

a = 4.257 Å, b = 4.257 Å, c = 7.782 Å
α = 90.00°, β = 90.00°, γ = 90.00°
Space group P4/nmm (No. 129, origin choice 2)
Inequivalent atoms, fractional coordinates:
Ta 0.250 0.750 0.000 (multiplicity 2)
Tl 0.250 0.250 0.368 (multiplicity 2)
P 0.250 0.250 0.834 (multiplicity 2)
O 0.250 0.750 0.500 (multiplicity 2)


[2]
# ZrTaPO

Crystalline ZrTaPO at its relaxed geometry (GGA-PBE, OQMD via LeMat-Bulk).

Values from the calculation:
For the energy above the most stable polymorph in this dataset, the calculation gives 0 meV/atom. For the density, the calculation gives 8.89 g cm⁻³. The total magnetization comes out at 0.0007 μB/atom.

a = 3.787 Å, b = 3.787 Å, c = 8.318 Å
α = 90.00°, β = 90.00°, γ = 90.00°
Space group P4/nmm (No. 129, origin choice 2)
Inequivalent atoms, fractional coordinates:
Zr 0.250 0.250 0.145 (multiplicity 2)
Ta 0.250 0.750 0.500 (multiplicity 2)
P 0.250 0.250 0.713 (multiplicity 2)
O 0.250 0.750 0.000 (multiplicity 2)


[3]
# ZrTaPO

Crystalline ZrTaPO at its relaxed geometry (GGA-PBE, OQMD via LeMat-Bulk).

Values from the calculation:
For the energy above the most stable polymorph in this dataset, the calculation gives 575 meV/atom. For the density, the calculation gives 9.10 g cm⁻³. The total magnetization comes out at 0.0061 μB/atom.

a = 3.885 Å, b = 3.885 Å, c = 7.717 Å
α = 90.00°, β = 90.00°, γ = 90.00°
Space group P4/nmm (No. 129, origin choice 2)
Inequivalent atoms, fractional coordinates:
Zr 0.250 0.750 0.000 (multiplicity 2)
Ta 0.250 0.250 0.369 (multiplicity 2)
P 0.250 0.250 0.759 (multiplicity 2)
O 0.250 0.750 0.500 (multiplicity 2)


[4]
# ZrTaPO

Crystalline ZrTaPO at its relaxed geometry (GGA-PBE, OQMD via LeMat-Bulk).

Values from the calculation:
For the energy above the most stable polymorph in this dataset, the calculation gives 61 meV/atom. For the density, the calculation gives 8.47 g cm⁻³. The total magnetization comes out at 0.0015 μB/atom.

a = 3.417 Å, b = 5.956 Å, c = 6.150 Å
α = 90.00°, β = 90.00°, γ = 90.00°
Space group Pmc2_1 (No. 26)
Inequivalent atoms, fractional coordinates:
Zr 0.000 0.080 0.000 (multiplicity 2)
Ta 0.500 0.398 0.675 (multiplicity 2)
P 0.000 0.332 0.375 (multiplicity 2)
O 0.500 0.284 0.996 (multiplicity 2)


[5]
# TbPO4

Crystalline TbPO4 at its relaxed geometry (GGA-PBE, OQMD via LeMat-Bulk).

Values from the calculation:
Its total energy is -7.52 eV/atom. For the density, the calculation gives 7.42 g cm⁻³. The total magnetization comes out at 0.0001 μB/atom.

a = 4.924 Å, b = 6.818 Å, c = 6.769 Å
α = 90.00°, β = 90.00°, γ = 90.00°
Space group Pbcm (No. 57)
Inequivalent atoms, fractional coordinates:
Tb 0.016 0.191 0.250 (multiplicity 4)
P 0.500 0.000 0.000 (multiplicity 4)
O 0.206 0.575 0.565 (multiplicity 8)
O 0.356 0.250 0.000 (multiplicity 4)
O 0.383 0.523 0.250 (multiplicity 4)


[6]
# TbP2O7

Crystalline TbP2O7 at its relaxed geometry (GGA-PBE, OQMD via LeMat-Bulk).

Values from the calculation:
Its total energy is -7.40 eV/atom. For the density, the calculation gives 4.01 g cm⁻³. The total magnetization comes out at 0.1004 μB/atom.

a = 4.999 Å, b = 8.197 Å, c = 6.939 Å
α = 90.00°, β = 104.15°, γ = 90.00°
Space group P2_1 (No. 4)
Inequivalent atoms, fractional coordinates:
Tb 0.002 0.000 0.245 (multiplicity 2)
P 0.377 0.853 0.940 (multiplicity 2)
P 0.451 0.739 0.559 (multiplicity 2)
O 0.216 0.997 0.989 (multiplicity 2)
O 0.229 0.694 0.962 (multiplicity 2)
O 0.238 0.220 0.400 (multiplicity 2)
O 0.314 0.808 0.357 (multiplicity 2)
O 0.315 0.577 0.591 (multiplicity 2)
O 0.324 0.345 0.942 (multiplicity 2)
O 0.380 0.875 0.709 (multiplicity 2)


Question: The highest total magnetization belongs to which entry?
Answer: TbP2O7


Question: What is the total magnetization in the fifth record?
Answer: 0.0001 μB/atom